Record 1
# KBa2Os GGA-PBE relaxed
# - Energy of formation: 0.775 eV/atom
# - Uncorrected energy: -3.27 eV/atom
# - Density of states at the Fermi level: 0.912 states/eV/atom
# - Energy above the lowest structure with this stoichiometry: 230 meV per atom
# - Crystal system: cubic
# - Magnetization: 0.000 μB/f.u.
data_KBa2Os
_cell_length_a 8.013
_cell_length_b 8.013
_cell_length_c 8.013
_cell_angle_alpha 90.00
_cell_angle_beta 90.00
_cell_angle_gamma 90.00
_symmetry_space_group_name_H-M 'F m -3 m'
_symmetry_Int_Tables_number 225
_symmetry_space_group_name_Hall '-F 4 2 3'
loop_
_atom_site_label
_atom_site_fract_x
_atom_site_fract_y
_atom_site_fract_z
K1 0.000 0.000 0.000
Ba1 0.250 0.250 0.250
Os1 0.000 0.000 0.500

Record 2
# MgTiGa2Pd2 GGA-PBE relaxed
# - Energy of formation: -0.577 eV/atom
# - Uncorrected energy: -4.90 eV/atom
# - Density of states at the Fermi level: 0.685 states/eV/atom
# - Crystal system: trigonal
# - Magnetization: 0.001 μB/f.u.
data_MgTiGa2Pd2
_cell_length_a 4.3809
_cell_length_b 4.3809
_cell_length_c 5.8587
_cell_angle_alpha 90.00
_cell_angle_beta 90.00
_cell_angle_gamma 120.00
_symmetry_space_group_name_H-M 'P -3 m 1'
_symmetry_Int_Tables_number 164
_symmetry_space_group_name_Hall '-P 3 2"'
loop_
_atom_site_label
_atom_site_fract_x
_atom_site_fract_y
_atom_site_fract_z
Mg1 0.0000 0.0000 0.0000
Ti1 0.0000 0.0000 0.5000
Ga1 0.3333 0.6667 0.7252
Pd1 0.3333 0.6667 0.2537

Record 3
# Sr4Ce3InP8 GGA-PBE relaxed
# - Energy of formation: -1.023 eV/atom
# - Uncorrected energy: -5.43 eV/atom
# - Density of states at the Fermi level: 1.074 states/eV/atom
# - Crystal system: trigonal
# - Magnetization: 0.000 μB/f.u.
data_Sr4Ce3InP8
_cell_length_a 8.3561
_cell_length_b 8.3561
_cell_length_c 20.9729
_cell_angle_alpha 90.00
_cell_angle_beta 90.00
_cell_angle_gamma 120.00
_symmetry_space_group_name_H-M 'R -3 m'
_symmetry_Int_Tables_number 166
_symmetry_space_group_name_Hall '-R 3 2"'
loop_
_atom_site_label
_atom_site_fract_x
_atom_site_fract_y
_atom_site_fract_z
Sr1 0.0000 0.0000 0.0000
Sr2 0.0000 0.5000 0.0000
Ce1 0.0000 0.5000 0.5000
In1 0.0000 0.0000 0.5000
P1 0.0000 0.0000 0.2394
P2 0.0025 0.5012 0.7595

Record 4
# Cs2HSeBr GGA-PBE relaxed
# - Uncorrected energy: -3.00 eV/atom
# - Density of states at the Fermi level: 0.631 states/eV/atom
# - Crystal system: tetragonal
# - Magnetization: 0.044 μB/f.u.
data_Cs2HSeBr
_cell_length_a 6.542
_cell_length_b 6.542
_cell_length_c 3.765
_cell_angle_alpha 90.00
_cell_angle_beta 90.00
_cell_angle_gamma 90.00
_symmetry_space_group_name_H-M 'P 4/m m m'
_symmetry_Int_Tables_number 123
_symmetry_space_group_name_Hall '-P 4 2'
loop_
_atom_site_label
_atom_site_fract_x
_atom_site_fract_y
_atom_site_fract_z
Cs1 0.000 0.500 0.000
H1 0.000 0.000 0.000
Se1 0.000 0.000 0.500
Br1 0.500 0.500 0.500

Record 5
# InSn2Hg GGA-PBE relaxed
# - Energy of formation: 0.034 eV/atom
# - Uncorrected energy: -2.73 eV/atom
# - Density of states at the Fermi level: 0.337 states/eV/atom
# - Energy above the lowest structure with this stoichiometry: 0 meV per atom
# - Crystal system: monoclinic
# - Magnetization: 0.000 μB/f.u.
data_InSn2Hg
_cell_length_a 4.382
_cell_length_b 4.431
_cell_length_c 11.616
_cell_angle_alpha 90.00
_cell_angle_beta 90.29
_cell_angle_gamma 90.00
_symmetry_space_group_name_H-M 'P 1 21/m 1'
_symmetry_Int_Tables_number 11
loop_
_symmetry_equiv_pos_as_xyz
'x,y,z'
'-x,-y,-z'
'-x,y+1/2,-z'
'x,-y+1/2,z'
loop_
_atom_site_label
_atom_site_fract_x
_atom_site_fract_y
_atom_site_fract_z
In1 0.187 0.250 0.361
Sn1 0.232 0.750 0.142
Sn2 0.270 0.750 0.878
Hg1 0.311 0.250 0.624

Record 6
# NdPu2Fe GGA-PBE relaxed
# - Energy of formation: 0.148 eV/atom
# - Uncorrected energy: -10.33 eV/atom
# - Density of states at the Fermi level: 3.037 states/eV/atom
# - Energy above the lowest structure with this stoichiometry: 0 meV per atom
# - Crystal system: tetragonal
# - Magnetization: 9.356 μB/f.u.
data_NdPu2Fe
_cell_length_a 3.354
_cell_length_b 3.354
_cell_length_c 8.725
_cell_angle_alpha 90.00
_cell_angle_beta 90.00
_cell_angle_gamma 90.00
_symmetry_space_group_name_H-M 'P 4/m m m'
_symmetry_Int_Tables_number 123
_symmetry_space_group_name_Hall '-P 4 2'
loop_
_atom_site_label
_atom_site_fract_x
_atom_site_fract_y
_atom_site_fract_z
Nd1 0.000 0.000 0.000
Pu1 0.500 0.500 0.315
Fe1 0.000 0.000 0.500

Record 7
# Hf4AlZn3 GGA-PBE relaxed
# - Energy of formation: -0.200 eV/atom
# - Uncorrected energy: -6.12 eV/atom
# - Density of states at the Fermi level: 0.469 states/eV/atom
# - Energy above the lowest structure with this stoichiometry: 35 meV per atom
# - Crystal system: orthorhombic
# - Magnetization: 0.000 μB/f.u.
data_Hf4AlZn3
_cell_length_a 3.256
_cell_length_b 4.738
_cell_length_c 9.466
_cell_angle_alpha 90.00
_cell_angle_beta 90.00
_cell_angle_gamma 90.00
_symmetry_space_group_name_H-M 'P m m m'
_symmetry_Int_Tables_number 47
loop_
_symmetry_equiv_pos_as_xyz
'x,y,z'
'-x,-y,-z'
'-x,-y,z'
'x,y,-z'
'x,-y,-z'
'-x,y,z'
'-x,y,-z'
'x,-y,z'
loop_
_atom_site_label
_atom_site_fract_x
_atom_site_fract_y
_atom_site_fract_z
Hf1 0.000 0.000 0.000
Hf2 0.000 0.000 0.500
Hf3 0.000 0.500 0.248
Al1 0.500 0.500 0.500
Zn1 0.500 0.000 0.247
Zn2 0.500 0.500 0.000

Record 8
# Zr3AgMo GGA-PBE relaxed
# - Energy of formation: 0.750 eV/atom
# - Uncorrected energy: -7.12 eV/atom
# - Density of states at the Fermi level: 1.135 states/eV/atom
# - Energy above the lowest structure with this stoichiometry: 0 meV per atom
# - Crystal system: cubic
# - Magnetization: 0.000 μB/f.u.
data_Zr3AgMo
_cell_length_a 5.044
_cell_length_b 5.044
_cell_length_c 5.044
_cell_angle_alpha 90.00
_cell_angle_beta 90.00
_cell_angle_gamma 90.00
_symmetry_space_group_name_H-M 'P m -3 m'
_symmetry_Int_Tables_number 221
_symmetry_space_group_name_Hall '-P 4 2 3'
loop_
_atom_site_label
_atom_site_fract_x
_atom_site_fract_y
_atom_site_fract_z
Zr1 0.000 0.000 0.500
Ag1 0.500 0.500 0.500
Mo1 0.000 0.000 0.000

Record 9
# V2GePd GGA-PBE relaxed
# - Energy of formation: -0.162 eV/atom
# - Uncorrected energy: -7.17 eV/atom
# - Density of states at the Fermi level: 0.682 states/eV/atom
# - Crystal system: tetragonal
# - Magnetization: 0.000 μB/f.u.
data_V2GePd
_cell_length_a 2.746
_cell_length_b 2.746
_cell_length_c 7.465
_cell_angle_alpha 90.00
_cell_angle_beta 90.00
_cell_angle_gamma 90.00
_symmetry_space_group_name_H-M 'P 4/m m m'
_symmetry_Int_Tables_number 123
_symmetry_space_group_name_Hall '-P 4 2'
loop_
_atom_site_label
_atom_site_fract_x
_atom_site_fract_y
_atom_site_fract_z
V1 0.000 0.000 0.242
Ge1 0.500 0.500 0.000
Pd1 0.500 0.500 0.500

Record 10
# NdScCd4 GGA-PBE relaxed
# - Energy of formation: -0.275 eV/atom
# - Uncorrected energy: -2.74 eV/atom
# - Density of states at the Fermi level: 0.717 states/eV/atom
# - Energy above the lowest structure with this stoichiometry: 0 meV per atom
# - Crystal system: monoclinic
# - Magnetization: 0.002 μB/f.u.
data_NdScCd4
_cell_length_a 3.303
_cell_length_b 4.987
_cell_length_c 8.715
_cell_angle_alpha 90.00
_cell_angle_beta 90.21
_cell_angle_gamma 90.00
_symmetry_space_group_name_H-M 'P 1 2/m 1'
_symmetry_Int_Tables_number 10
loop_
_symmetry_equiv_pos_as_xyz
'x,y,z'
'-x,-y,-z'
'-x,y,-z'
'x,-y,z'
loop_
_atom_site_label
_atom_site_fract_x
_atom_site_fract_y
_atom_site_fract_z
Nd1 0.000 0.000 0.000
Sc1 0.000 0.500 0.500
Cd1 0.497 0.000 0.659
Cd2 0.497 0.500 0.822

Record 11
# K3OF GGA-PBE relaxed
# - Uncorrected formation energy: -1.6637 eV/atom
# - Uncorrected energy: -3.69 eV/atom
# - Energy above the lowest structure with this stoichiometry: 0 meV per atom
# - Crystal system: monoclinic
# - Magnetization: 0.098 μB/f.u.
data_K3OF
_cell_length_a 7.100
_cell_length_b 4.282
_cell_length_c 7.788
_cell_angle_alpha 90.00
_cell_angle_beta 91.72
_cell_angle_gamma 90.00
_symmetry_space_group_name_H-M 'P 1 21/m 1'
_symmetry_Int_Tables_number 11
loop_
_symmetry_equiv_pos_as_xyz
'x,y,z'
'-x,-y,-z'
'-x,y+1/2,-z'
'x,-y+1/2,z'
loop_
_atom_site_label
_atom_site_fract_x
_atom_site_fract_y
_atom_site_fract_z
K1 0.005 0.250 0.334
K2 0.222 0.750 0.086
K3 0.376 0.250 0.602
O1 0.243 0.750 0.418
F1 0.171 0.250 0.898

Record 12
# BaTb2IO8 GGA-PBE relaxed
# - Uncorrected formation energy: -2.0109 eV/atom
# - Uncorrected energy: -6.38 eV/atom
# - Crystal system: monoclinic
# - Magnetization: 0.999 μB/f.u.
data_BaTb2IO8
_cell_length_a 5.006
_cell_length_b 7.462
_cell_length_c 5.044
_cell_angle_alpha 90.00
_cell_angle_beta 90.43
_cell_angle_gamma 90.00
_symmetry_space_group_name_H-M 'P 1 2/m 1'
_symmetry_Int_Tables_number 10
loop_
_symmetry_equiv_pos_as_xyz
'x,y,z'
'-x,-y,-z'
'-x,y,-z'
'x,-y,z'
loop_
_atom_site_label
_atom_site_fract_x
_atom_site_fract_y
_atom_site_fract_z
Ba1 0.000 0.000 0.000
Tb1 0.500 0.269 0.500
I1 0.000 0.500 0.000
O1 0.173 0.316 0.196
O2 0.283 0.500 0.743
O3 0.398 0.000 0.688

Record 13
# LaHg2 GGA-PBE relaxed
# - Energy of formation: -0.066 eV/atom
# - Uncorrected energy: -1.91 eV/atom
# - Density of states at the Fermi level: 1.061 states/eV/atom
# - Crystal system: cubic
# - Magnetization: 0.000 μB/f.u.
data_LaHg2
_cell_length_a 7.476
_cell_length_b 7.476
_cell_length_c 7.476
_cell_angle_alpha 90.00
_cell_angle_beta 90.00
_cell_angle_gamma 90.00
_symmetry_space_group_name_H-M 'P a -3'
_symmetry_Int_Tables_number 205
_symmetry_space_group_name_Hall '-P 2ac 2ab 3'
loop_
_atom_site_label
_atom_site_fract_x
_atom_site_fract_y
_atom_site_fract_z
La1 0.000 0.000 0.000
Hg1 0.112 0.612 0.888